This record from the Alexandria database describes a geometry-optimized MgTaRh3 structure. The functional is PBEsol.

Results
The magnetic moment comes out at 0.0 μB/f.u. The formation energy from the elements is 0.900 eV per atom. The calculation puts the density at 10.575 Mg/m³. The calculation puts the energy relative to the lowest polymorph listed for this composition at 258 meV per atom.

Structure (extended XYZ):
```
5
Lattice="4.321 0.000 0.000 0.000 4.321 0.000 0.000 0.000 4.321" Properties=species:S:1:pos:R:3 pbc="T T T"
Rh 2.161 0.000 0.000
Rh 0.000 0.000 2.161
Rh 0.000 2.161 0.000
Ta 2.161 2.161 2.161
Mg 0.000 0.000 0.000
```